# 1
VASP calculation (GGA-PBE) on an optimized crystal structure of PmScAgHg.

Cell lengths 5.144, 5.144, 5.144 Å; angles 60.00, 60.00, 60.00 degrees
Sites, in units of the cell vectors:
Sc  0.000  0.000  0.000
Pm  0.500  0.500  0.500
Ag  0.250  0.250  0.250
Hg  0.750  0.750  0.750

Summary:
Formation enthalpy at 0 K ... -129 kJ/mol of formula units
Space-group type ... F-43m, No. 216
Calculated volume ... 24.06 Å³ per atom
Excess energy over the best structure of this formula in the dataset ... 12.0 meV/atom
Total magnetization ... 0.00 Bohr magnetons per cell
Electronic total energy ... -3.8925 eV per atom

=====

# 2
VASP calculation (GGA-PBE) on an optimized crystal structure of Tb2AgSn3Te6.

Cell lengths 4.389, 9.009, 10.091 Å; angles 103.49, 102.56, 90.00 degrees
Sites, in units of the cell vectors:
Tb  0.167  0.342  0.334
Tb  0.833  0.658  0.666
Te  0.993  0.764  0.986
Te  0.007  0.236  0.014
Te  0.668  0.586  0.337
Te  0.675  0.100  0.350
Te  0.332  0.414  0.663
Te  0.325  0.900  0.650
Sn  0.841  0.154  0.681
Sn  0.500  0.500  0.000
Sn  0.159  0.846  0.319
Ag  0.500  0.000  0.000

Summary:
Space-group type ... C2/m, No. 12
Calculated volume ... 31.52 Å³ per atom
Total magnetization ... 0.00 Bohr magnetons per cell
Electronic total energy ... -4.1773 eV per atom

=====

# 3
VASP calculation (GGA-PBE) on an optimized crystal structure of SiP2PtO.

Cell lengths 4.819, 4.819, 3.776 Å; angles 90.00, 90.00, 90.00 degrees
Sites, in units of the cell vectors:
P  0.000  0.500  0.000
P  0.500  0.000  0.000
O  0.000  0.000  0.500
Pt  0.000  0.000  0.000
Si  0.500  0.500  0.500

Summary:
Space-group type ... P4/mmm, No. 123
Calculated volume ... 17.54 Å³ per atom
Excess energy over the best structure of this formula in the dataset ... 810.9 meV/atom
Total magnetization ... 0.84 Bohr magnetons per cell
Electronic total energy ... -4.8388 eV per atom

=====

# 4
VASP calculation (GGA-PBE) on an optimized crystal structure of ErMn2Si2Pt7.

Cell lengths 3.941, 3.941, 13.409 Å; angles 78.12, 78.12, 89.29 degrees
Sites, in units of the cell vectors:
Pt  0.272  0.272  0.457
Pt  0.623  0.123  0.826
Pt  0.377  0.877  0.174
Pt  0.877  0.377  0.174
Pt  0.123  0.623  0.826
Pt  0.728  0.728  0.543
Pt  0.500  0.500  0.000
Si  0.700  0.700  0.716
Si  0.300  0.300  0.284
Mn  0.751  0.751  0.344
Mn  0.249  0.249  0.656
Er  0.000  0.000  0.000

Summary:
Space-group type ... C2/m, No. 12
Calculated volume ... 16.62 Å³ per atom
Total magnetization ... 8.67 Bohr magnetons per cell
Electronic total energy ... -6.9530 eV per atom

=====

Which value of electronic total energy does entry 1 give? -3.8925 eV per atom

=====

Repeat the third record exactly.
VASP calculation (GGA-PBE) on an optimized crystal structure of SiP2PtO.

Cell lengths 4.819, 4.819, 3.776 Å; angles 90.00, 90.00, 90.00 degrees
Sites, in units of the cell vectors:
P  0.000  0.500  0.000
P  0.500  0.000  0.000
O  0.000  0.000  0.500
Pt  0.000  0.000  0.000
Si  0.500  0.500  0.500

Summary:
Space-group type ... P4/mmm, No. 123
Calculated volume ... 17.54 Å³ per atom
Excess energy over the best structure of this formula in the dataset ... 810.9 meV/atom
Total magnetization ... 0.84 Bohr magnetons per cell
Electronic total energy ... -4.8388 eV per atom

=====

Look up the electronic total energy of the second one. -4.1773 eV per atom